A geometry-optimized Si2Hg2Bi structure, computed with PBE.

Total magnetic moment   0.00 Bohr magnetons per cell
DFT total energy   -2.634 eV/atom

Cell lengths 7.425, 7.425, 4.284 Å; angles 90.00, 90.00, 90.00 degrees
Space group P4/mbm (No. 127)
Asymmetric unit:
Si: 0.114 0.386 0.000
Hg: 0.180 0.680 0.500
Bi: 0.000 0.000 0.000